[1]
KCr2Cl at its PBEsol-relaxed geometry, computed with meta-GGA SCAN.

Cell and atoms, written as POSCAR:
```
KCr2Cl
1.0
3.360 0.000 0.000
0.000 5.808 0.000
0.000 0.000 9.988
K Cr Cl
2 4 2
Direct
0.000 0.000 0.000 K
0.500 0.500 0.000 K
0.000 0.500 0.305 Cr
0.000 0.500 0.695 Cr
0.500 0.000 0.305 Cr
0.500 0.000 0.695 Cr
0.000 0.000 0.500 Cl
0.500 0.500 0.500 Cl
```

Results
Symmetry   Cmmm, No. 65
Total moment   9.84 μB per formula unit
Energy above the most stable polymorph in this dataset   1.112 eV per formula unit
Calculated volume   24.4 Å³/atom
Uncorrected formation energy   0.312 eV per atom



[2]
Zr2H2Pt at its PBEsol-relaxed geometry, computed with meta-GGA SCAN.

Cell and atoms, written as POSCAR:
```
Zr2H2Pt
1.0
3.203 0.000 0.000
0.000 3.203 0.000
0.000 0.000 12.242
Zr H Pt
4 4 2
Direct
0.000 0.000 0.141 Zr
0.000 0.000 0.859 Zr
0.500 0.500 0.359 Zr
0.500 0.500 0.641 Zr
0.000 0.500 0.250 H
0.000 0.500 0.750 H
0.500 0.000 0.250 H
0.500 0.000 0.750 H
0.000 0.000 0.500 Pt
0.500 0.500 0.000 Pt
```

Results
Symmetry   I4/mmm, No. 139
Total moment   0.00 μB per formula unit
Raw total energy   -285.47 eV per cell
Calculated volume   12.6 Å³/atom



[3]
TcMo3 at its PBEsol-relaxed geometry, computed with meta-GGA SCAN.

Cell and atoms, written as POSCAR:
```
TcMo3
1.0
8.764 0.000 0.000
-4.382 7.590 0.000
0.000 0.000 2.703
Tc Mo
3 9
Direct
0.000 0.000 0.000 Tc
0.333 0.667 0.667 Tc
0.667 0.333 0.333 Tc
0.000 0.500 0.000 Mo
0.167 0.333 0.333 Mo
0.167 0.833 0.333 Mo
0.333 0.167 0.667 Mo
0.500 0.000 0.000 Mo
0.500 0.500 0.000 Mo
0.667 0.833 0.333 Mo
0.833 0.167 0.667 Mo
0.833 0.667 0.667 Mo
```

Results
Symmetry   R-3m, No. 166
Formation energy from the elements   29.5 meV/atom
Total moment   0.00 μB per formula unit
Energy above the most stable polymorph in this dataset   0.042 eV per formula unit
Calculated volume   15.0 Å³/atom



[4]
AsRu2Au at its PBEsol-relaxed geometry, computed with meta-GGA SCAN.

Cell and atoms, written as POSCAR:
```
AsRu2Au
1.0
4.351 0.000 0.000
0.000 4.351 0.000
0.000 0.000 3.077
As Ru Au
1 2 1
Direct
0.000 0.000 0.000 As
0.000 0.500 0.500 Ru
0.500 0.000 0.500 Ru
0.500 0.500 0.000 Au
```

Results
Symmetry   P4/mmm, No. 123
Formation energy from the elements   277.8 meV/atom
Total moment   0.00 μB per formula unit
Calculated volume   14.6 Å³/atom



[5]
ReTc2W at its PBEsol-relaxed geometry, computed with meta-GGA SCAN.

Cell and atoms, written as POSCAR:
```
ReTc2W
1.0
2.743 0.000 0.000
-1.372 2.376 0.000
0.000 0.000 26.978
Re Tc W
3 6 3
Direct
0.000 0.000 0.000 Re
0.333 0.667 0.667 Re
0.667 0.333 0.333 Re
0.000 0.000 0.252 Tc
0.000 0.000 0.505 Tc
0.333 0.667 0.172 Tc
0.333 0.667 0.919 Tc
0.667 0.333 0.585 Tc
0.667 0.333 0.838 Tc
0.000 0.000 0.753 W
0.333 0.667 0.420 W
0.667 0.333 0.087 W
```

Results
Symmetry   R3m, No. 160
Formation energy from the elements   152.8 meV/atom
Total moment   0.00 μB per formula unit
Energy above the most stable polymorph in this dataset   0.123 eV per formula unit
Calculated volume   14.6 Å³/atom



[6]
Be2FeOs2 at its PBEsol-relaxed geometry, computed with meta-GGA SCAN.

Cell and atoms, written as POSCAR:
```
Be2FeOs2
1.0
5.917 0.000 0.000
0.000 5.917 0.000
0.000 0.000 3.025
Be Fe Os
4 2 4
Direct
0.124 0.376 0.000 Be
0.376 0.876 0.000 Be
0.624 0.124 0.000 Be
0.876 0.624 0.000 Be
0.000 0.000 0.000 Fe
0.500 0.500 0.000 Fe
0.173 0.673 0.500 Os
0.327 0.173 0.500 Os
0.673 0.827 0.500 Os
0.827 0.327 0.500 Os
```

Results
Symmetry   P4/mbm, No. 127
Formation energy from the elements   -222.0 meV/atom
Total moment   3.70 μB per formula unit
Calculated volume   10.6 Å³/atom



[7]
Sc2AuF at its PBEsol-relaxed geometry, computed with meta-GGA SCAN.

Cell and atoms, written as POSCAR:
```
Sc2AuF
1.0
2.957 0.000 0.000
-1.478 2.561 0.000
0.000 0.000 26.615
Sc Au F
6 3 3
Direct
0.000 0.000 0.101 Sc
0.000 0.000 0.899 Sc
0.333 0.667 0.565 Sc
0.333 0.667 0.768 Sc
0.667 0.333 0.232 Sc
0.667 0.333 0.435 Sc
0.000 0.000 0.000 Au
0.333 0.667 0.667 Au
0.667 0.333 0.333 Au
0.000 0.000 0.500 F
0.333 0.667 0.167 F
0.667 0.333 0.833 F
```

Results
Symmetry   R-3m, No. 166
Total moment   0.00 μB per formula unit
Energy above the most stable polymorph in this dataset   2.933 eV per formula unit
Calculated volume   16.8 Å³/atom
Uncorrected formation energy   -1.020 eV per atom



[8]
TaRu2Rh at its PBEsol-relaxed geometry, computed with meta-GGA SCAN.

Cell and atoms, written as POSCAR:
```
TaRu2Rh
1.0
3.256 0.000 0.000
0.000 3.256 0.000
0.000 0.000 5.530
Ta Ru Rh
1 2 1
Direct
0.000 0.000 0.000 Ta
0.000 0.000 0.510 Ru
0.500 0.500 0.729 Ru
0.500 0.500 0.246 Rh
```

Results
Symmetry   P4mm, No. 99
Formation energy from the elements   -73.0 meV/atom
Total moment   1.12 μB per formula unit
Energy above the most stable polymorph in this dataset   1.217 eV per formula unit
Calculated volume   14.7 Å³/atom



[9]
KSiIr2 at its PBEsol-relaxed geometry, computed with meta-GGA SCAN.

Cell and atoms, written as POSCAR:
```
KSiIr2
1.0
2.722 0.000 0.000
0.000 3.808 0.000
0.000 0.000 7.280
K Si Ir
1 1 2
Direct
0.000 0.000 0.000 K
0.500 0.500 0.344 Si
0.000 0.000 0.474 Ir
0.500 0.500 0.667 Ir
```

Results
Symmetry   Pmm2, No. 25
Total moment   0.00 μB per formula unit
Calculated volume   18.9 Å³/atom
Uncorrected formation energy   0.229 eV per atom



[10]
MnCo at its PBEsol-relaxed geometry, computed with meta-GGA SCAN.

Cell and atoms, written as POSCAR:
```
MnCo
1.0
2.432 0.000 0.000
-1.216 2.106 0.000
0.000 0.000 3.901
Mn Co
1 1
Direct
0.000 0.000 0.000 Mn
0.333 0.667 0.500 Co
```

Results
Symmetry   P-6m2, No. 187
Formation energy from the elements   241.3 meV/atom
Total moment   0.32 μB per formula unit
Calculated volume   10.0 Å³/atom



[11]
BaLi2Ni2 at its PBEsol-relaxed geometry, computed with meta-GGA SCAN.

Cell and atoms, written as POSCAR:
```
BaLi2Ni2
1.0
4.218 0.000 0.000
0.000 4.218 0.000
0.000 0.000 10.628
Ba Li Ni
2 4 4
Direct
0.000 0.000 0.000 Ba
0.500 0.500 0.500 Ba
0.000 0.500 0.250 Li
0.000 0.500 0.750 Li
0.500 0.000 0.250 Li
0.500 0.000 0.750 Li
0.000 0.000 0.394 Ni
0.000 0.000 0.606 Ni
0.500 0.500 0.106 Ni
0.500 0.500 0.894 Ni
```

Results
Symmetry   I4/mmm, No. 139
Formation energy from the elements   198.7 meV/atom
Total moment   0.00 μB per formula unit
Calculated volume   18.9 Å³/atom



[12]
CdCu3 at its PBEsol-relaxed geometry, computed with meta-GGA SCAN.

Cell and atoms, written as POSCAR:
```
CdCu3
1.0
2.750 0.000 0.000
0.000 4.275 0.000
0.000 0.000 4.552
Cd Cu
1 3
Direct
0.000 0.000 0.000 Cd
0.000 0.500 0.361 Cu
0.500 0.000 0.498 Cu
0.500 0.500 0.823 Cu
```

Results
Symmetry   Pmm2, No. 25
Formation energy from the elements   110.7 meV/atom
Total moment   0.00 μB per formula unit
Calculated volume   13.4 Å³/atom



What is the calculated volume in the fifth record?
14.6 Å³/atom